(1)
A relaxed structure of TcWCl. Source: Alexandria via LeMat-Bulk, functional PBE.

Cell and atoms, written as CIF:
```
data_TcWCl
_space_group_name_H-M_alt 'F -4 3 m'
_space_group_IT_number 216
_space_group_name_Hall 'F -4 2 3'
_cell_length_a 6.0179
_cell_length_b 6.0179
_cell_length_c 6.0179
_cell_angle_alpha 90.00
_cell_angle_beta 90.00
_cell_angle_gamma 90.00
loop_
_atom_site_label
_atom_site_type_symbol
_atom_site_fract_x
_atom_site_fract_y
_atom_site_fract_z
Tc1 Tc 0.0000 0.0000 0.0000
W1 W 0.2500 0.2500 0.2500
Cl1 Cl 0.2500 0.2500 0.7500
```



(2)
A relaxed structure of TcWCl. Source: Alexandria via LeMat-Bulk, functional PBE.

Cell and atoms, written as CIF:
```
data_TcWCl
_space_group_name_H-M_alt 'I 4 m m'
_space_group_IT_number 107
_space_group_name_Hall 'I 4 -2'
_cell_length_a 2.9886
_cell_length_b 2.9886
_cell_length_c 11.0214
_cell_angle_alpha 90.00
_cell_angle_beta 90.00
_cell_angle_gamma 90.00
loop_
_atom_site_label
_atom_site_type_symbol
_atom_site_fract_x
_atom_site_fract_y
_atom_site_fract_z
Tc1 Tc 0.0000 0.0000 0.0000
W1 W 0.0000 0.0000 0.6364
Cl1 Cl 0.0000 0.0000 0.3093
```



(3)
A relaxed structure of Tc2WCl. Source: Alexandria via LeMat-Bulk, functional PBE.

Cell and atoms, written as CIF:
```
data_Tc2WCl
_space_group_name_H-M_alt 'P 4/m m m'
_space_group_IT_number 123
_space_group_name_Hall '-P 4 2'
_cell_length_a 3.0458
_cell_length_b 3.0458
_cell_length_c 6.8434
_cell_angle_alpha 90.00
_cell_angle_beta 90.00
_cell_angle_gamma 90.00
loop_
_atom_site_label
_atom_site_type_symbol
_atom_site_fract_x
_atom_site_fract_y
_atom_site_fract_z
Tc1 Tc 0.0000 0.0000 0.2268
W1 W 0.5000 0.5000 0.0000
Cl1 Cl 0.5000 0.5000 0.5000
```



(4)
A relaxed structure of Tc2WCl. Source: Alexandria via LeMat-Bulk, functional PBE.

Cell and atoms, written as CIF:
```
data_Tc2WCl
_space_group_name_H-M_alt 'P m m 2'
_space_group_IT_number 25
_space_group_name_Hall 'P 2 -2'
_cell_length_a 2.9754
_cell_length_b 3.8790
_cell_length_c 6.9799
_cell_angle_alpha 90.00
_cell_angle_beta 90.00
_cell_angle_gamma 90.00
loop_
_atom_site_label
_atom_site_type_symbol
_atom_site_fract_x
_atom_site_fract_y
_atom_site_fract_z
Tc1 Tc 0.0000 0.0000 0.0000
Tc2 Tc 0.5000 0.5000 0.1553
W1 W 0.0000 0.0000 0.3286
Cl1 Cl 0.5000 0.5000 0.8032
```



(5)
A relaxed structure of Tc2WCl. Source: Alexandria via LeMat-Bulk, functional PBE.

Cell and atoms, written as CIF:
```
data_Tc2WCl
_space_group_name_H-M_alt 'C m m m'
_space_group_IT_number 65
_space_group_name_Hall '-C 2 2'
_cell_length_a 3.1034
_cell_length_b 4.8151
_cell_length_c 8.5370
_cell_angle_alpha 90.00
_cell_angle_beta 90.00
_cell_angle_gamma 90.00
loop_
_atom_site_label
_atom_site_type_symbol
_atom_site_fract_x
_atom_site_fract_y
_atom_site_fract_z
Tc1 Tc 0.0000 0.0000 0.2415
W1 W 0.0000 0.5000 0.0000
Cl1 Cl 0.0000 0.5000 0.5000
```



(6)
A relaxed structure of Tc3WCl. Source: Alexandria via LeMat-Bulk, functional PBE.

Cell and atoms, written as CIF:
```
data_Tc3WCl
_space_group_name_H-M_alt 'P m -3 m'
_space_group_IT_number 221
_space_group_name_Hall '-P 4 2 3'
_cell_length_a 4.8697
_cell_length_b 4.8697
_cell_length_c 4.8697
_cell_angle_alpha 90.00
_cell_angle_beta 90.00
_cell_angle_gamma 90.00
loop_
_atom_site_label
_atom_site_type_symbol
_atom_site_fract_x
_atom_site_fract_y
_atom_site_fract_z
Tc1 Tc 0.0000 0.0000 0.5000
W1 W 0.0000 0.0000 0.0000
Cl1 Cl 0.5000 0.5000 0.5000
```



| no. | formation energy (no corrections) (eV per atom) | DOS(E_F) (states/eV per cell) |
| --- | --- | --- |
| 1 | 1.08 | 9.1 |
| 2 | 0.43 | 5.8 |
| 3 | 0.35 | 2.2 |
| 4 | 0.59 | 2.7 |
| 5 | 0.46 | 10.2 |
| 6 | 1.97 | 6.1 |